[1]
{"formula": "Pr3Sm5Tm4", "functional": "PBE", "state": "optimized geometry", "final_energy_ev_per_atom": -4.42, "n_ef_per_ev_atom": 1.613, "m_tot_mub_per_fu": 0.00, "sg": "C2/m, No. 12", "lattice_angstrom": [[8.093, -2.991, 0.000], [8.093, 2.991, 0.000], [-4.105, 0.000, 8.359]], "species": ["Pr", "Pr", "Pr", "Sm", "Sm", "Sm", "Sm", "Sm", "Tm", "Tm", "Tm", "Tm"], "fractional_positions": [[0.000, 0.000, 0.000], [0.292, 0.292, 0.773], [0.708, 0.708, 0.227], [0.076, 0.076, 0.698], [0.173, 0.173, 0.387], [0.500, 0.500, 0.000], [0.827, 0.827, 0.613], [0.924, 0.924, 0.302], [0.290, 0.290, 0.125], [0.418, 0.418, 0.558], [0.582, 0.582, 0.442], [0.710, 0.710, 0.875]]}

***

[2]
{"formula": "YHoZrIn", "functional": "PBE", "state": "optimized geometry", "final_energy_ev_per_atom": -5.67, "n_ef_per_ev_atom": 0.740, "m_tot_mub_per_fu": 2.68, "sg": "F-43m, No. 216", "lattice_angstrom": [[0.000, 3.772, 3.772], [3.772, 0.000, 3.772], [3.772, 3.772, 0.000]], "species": ["Y", "Ho", "Zr", "In"], "fractional_positions": [[0.000, 0.000, 0.000], [0.500, 0.500, 0.500], [0.250, 0.250, 0.250], [0.750, 0.750, 0.750]]}

***

[3]
{"formula": "Pr2Nd2Dy2In", "functional": "PBE", "state": "optimized geometry", "final_energy_ev_per_atom": -4.47, "n_ef_per_ev_atom": 1.414, "m_tot_mub_per_fu": 0.00, "sg": "C2/m, No. 12", "lattice_angstrom": [[6.176, -1.861, 0.000], [6.176, 1.861, 0.000], [-5.352, 0.000, 10.301]], "species": ["Pr", "Pr", "Nd", "Nd", "Dy", "Dy", "In"], "fractional_positions": [[0.019, 0.019, 0.244], [0.981, 0.981, 0.756], [0.182, 0.182, 0.590], [0.818, 0.818, 0.410], [0.237, 0.237, 0.118], [0.763, 0.763, 0.882], [0.500, 0.500, 0.000]]}

***

[4]
{"formula": "LaAgCl2", "functional": "PBE", "state": "optimized geometry", "raw_formation_energy_mev_per_atom": -1213, "final_energy_ev_per_atom": -4.08, "m_tot_mub_per_fu": 0.00, "sg": "I4/mmm, No. 139", "lattice_angstrom": [[-2.358, 2.358, 4.182], [2.358, -2.358, 4.182], [2.358, 2.358, -4.182]], "species": ["La", "Ag", "Cl", "Cl"], "fractional_positions": [[0.000, 0.000, 0.000], [0.500, 0.500, 0.000], [0.250, 0.750, 0.500], [0.750, 0.250, 0.500]]}

***

[5]
{"formula": "SnIrAu", "functional": "PBE", "state": "optimized geometry", "final_energy_ev_per_atom": -5.36, "n_ef_per_ev_atom": 0.481, "m_tot_mub_per_fu": 0.00, "sg": "F-43m, No. 216", "lattice_angstrom": [[0.000, 3.147, 3.147], [3.147, 0.000, 3.147], [3.147, 3.147, 0.000]], "species": ["Sn", "Ir", "Au"], "fractional_positions": [[0.000, 0.000, 0.000], [0.250, 0.250, 0.250], [0.500, 0.500, 0.500]]}

***

[6]
{"formula": "TbCu2Pt6", "functional": "PBE", "state": "optimized geometry", "final_energy_ev_per_atom": -5.46, "n_ef_per_ev_atom": 1.449, "m_tot_mub_per_fu": 0.00, "sg": "Fd-3m, No. 227", "lattice_angstrom": [[0.000, 5.600, 5.600], [5.600, 0.000, 5.600], [5.600, 5.600, 0.000]], "species": ["Tb", "Tb", "Cu", "Cu", "Cu", "Cu", "Pt", "Pt", "Pt", "Pt", "Pt", "Pt", "Pt", "Pt", "Pt", "Pt", "Pt", "Pt"], "fractional_positions": [[0.125, 0.125, 0.125], [0.875, 0.875, 0.875], [0.000, 0.500, 0.500], [0.500, 0.000, 0.500], [0.500, 0.500, 0.000], [0.500, 0.500, 0.500], [0.119, 0.119, 0.631], [0.119, 0.631, 0.119], [0.119, 0.631, 0.631], [0.369, 0.369, 0.881], [0.369, 0.881, 0.369], [0.369, 0.881, 0.881], [0.631, 0.119, 0.119], [0.631, 0.119, 0.631], [0.631, 0.631, 0.119], [0.881, 0.369, 0.369], [0.881, 0.369, 0.881], [0.881, 0.881, 0.369]]}

***

[7]
{"formula": "CePuPb3", "functional": "PBE", "state": "optimized geometry", "final_energy_ev_per_atom": -6.33, "n_ef_per_ev_atom": 2.842, "m_tot_mub_per_fu": 6.61, "sg": "P6_3/mmc, No. 194", "lattice_angstrom": [[7.819, 0.000, 0.000], [-3.910, 6.772, 0.000], [0.000, 0.000, 6.051]], "species": ["Ce", "Ce", "Pu", "Pu", "Pb", "Pb", "Pb", "Pb", "Pb", "Pb"], "fractional_positions": [[0.333, 0.667, 0.250], [0.667, 0.333, 0.750], [0.000, 0.000, 0.000], [0.000, 0.000, 0.500], [0.202, 0.403, 0.750], [0.202, 0.798, 0.750], [0.403, 0.202, 0.250], [0.597, 0.798, 0.750], [0.798, 0.202, 0.250], [0.798, 0.597, 0.250]]}

***

[8]
{"formula": "Tb6YHo2Mg", "functional": "PBE", "state": "optimized geometry", "final_energy_ev_per_atom": -4.38, "n_ef_per_ev_atom": 1.663, "m_tot_mub_per_fu": 0.14, "sg": "C2/c, No. 15", "lattice_angstrom": [[4.963, -9.734, 0.000], [4.963, 9.734, 0.000], [-1.117, 0.000, 6.516]], "species": ["Tb", "Tb", "Tb", "Tb", "Tb", "Tb", "Tb", "Tb", "Tb", "Tb", "Tb", "Tb", "Y", "Y", "Ho", "Ho", "Ho", "Ho", "Mg", "Mg"], "fractional_positions": [[0.083, 0.564, 0.280], [0.085, 0.792, 0.966], [0.208, 0.915, 0.534], [0.300, 0.465, 0.025], [0.436, 0.917, 0.220], [0.465, 0.300, 0.525], [0.535, 0.700, 0.475], [0.564, 0.083, 0.780], [0.700, 0.535, 0.975], [0.792, 0.085, 0.466], [0.915, 0.208, 0.034], [0.917, 0.436, 0.720], [0.008, 0.992, 0.250], [0.992, 0.008, 0.750], [0.179, 0.349, 0.508], [0.349, 0.179, 0.008], [0.651, 0.821, 0.992], [0.821, 0.651, 0.492], [0.296, 0.704, 0.750], [0.704, 0.296, 0.250]]}